No. 1
First-principles (PBE) data for a geometry-optimized Ba2CdB structure, as listed in Alexandria via LeMat-Bulk.

## Properties
- Space-group type: I-42d (122)
- Spin magnetization: 0.258 μB per atom
- Raw total energy: -0.1681 Ry per atom
- Calculated volume: 38.12 A^3/atom
- Excess energy over the best structure of this formula in the dataset: 107.3 meV per atom
- N(E_F): 0.709 states/eV/atom
- DFT formation energy: 0.572 eV/atom

Cell: 8.7388 8.7388 7.3576 Å, 53.57 53.57 90.00°
With the nearest neighbours (Å) after each atom.
Positions (direct):
B1 0.5000 0.5000 0.0000  4 Ba 2.88
B2 0.2500 0.7500 0.5000  4 Ba 2.88
Ba1 0.1942 0.6250 0.2500  2 B 2.88
Ba2 0.5558 0.1250 0.2500  2 B 2.88
Ba3 0.8750 0.8058 0.7500  2 B 2.88
Ba4 0.3750 0.4442 0.7500  2 B 2.88
Cd1 0.7500 0.2500 0.5000  8 Ba 3.68-4.03, 2 B 3.99
Cd2 0.0000 0.0000 0.0000  8 Ba 3.68-4.03, 2 B 3.99

=====

No. 2
First-principles (PBE) data for a geometry-optimized Ba2CdB structure, as listed in Alexandria via LeMat-Bulk.

## Properties
- Space-group type: Fm-3m (225)
- Spin magnetization: 0.006 μB per atom
- Raw total energy: -0.1760 Ry per atom
- Calculated volume: 31.96 A^3/atom
- Excess energy over the best structure of this formula in the dataset: 0.0 meV per atom
- N(E_F): 1.104 states/eV/atom
- DFT formation energy: 0.465 eV/atom

Cell: 5.6548 5.6548 5.6548 Å, 60.00 60.00 60.00°
With the nearest neighbours (Å) after each atom.
Positions (direct):
Cd1 0.5000 0.5000 0.5000  8 Ba 3.46
B1 0.0000 0.0000 0.0000  8 Ba 3.46
Ba1 0.7500 0.7500 0.7500  4 B 3.46, 4 Cd 3.46
Ba2 0.2500 0.2500 0.2500  4 Cd 3.46, 4 B 3.46

=====

No. 3
First-principles (PBE) data for a geometry-optimized BaCd3B structure, as listed in Alexandria via LeMat-Bulk.

## Properties
- Space-group type: Pm-3m (221)
- Spin magnetization: 0.503 μB per atom
- Raw total energy: -0.0487 Ry per atom
- Calculated volume: 60.07 A^3/atom
- Excess energy over the best structure of this formula in the dataset: 1258.2 meV per atom
- N(E_F): 1.656 states/eV/atom
- DFT formation energy: 1.606 eV/atom

Cell: 6.6968 6.6968 6.6968 Å, 90.00 90.00 90.00°
With the nearest neighbours (Å) after each atom.
Positions (direct):
Cd1 0.0000 0.5000 0.0000  2 Ba 3.35
Cd2 0.5000 0.0000 0.0000  2 Ba 3.35
Cd3 0.0000 0.0000 0.5000  2 Ba 3.35
B1 0.5000 0.5000 0.5000  12 Cd 4.74
Ba1 0.0000 0.0000 0.0000  6 Cd 3.35

=====

No. 4
First-principles (PBE) data for a geometry-optimized BaCdB2Cl structure, as listed in Alexandria via LeMat-Bulk.

## Properties
- Space-group type: P4/mmm (123)
- Spin magnetization: 0.000 μB per atom
- Raw total energy: -0.2226 Ry per atom
- Calculated volume: 24.46 A^3/atom
- N(E_F): 0.698 states/eV/atom

Cell: 4.3814 6.3708 4.3814 Å, 90.00 90.00 90.00°
With the nearest neighbours (Å) after each atom.
Positions (direct):
Ba1 0.5000 0.5000 0.5000  4 Cl 3.10
Cl1 0.0000 0.5000 0.0000  4 Ba 3.10, 2 Cd 3.19
B1 0.0000 0.0000 0.5000  2 Cd 2.19
B2 0.5000 0.0000 0.0000  2 Cd 2.19
Cd1 0.0000 0.0000 0.0000  4 B 2.19

=====

No. 5
First-principles (PBE) data for a geometry-optimized Ba2CdCoB structure, as listed in Alexandria via LeMat-Bulk.

## Properties
- Space-group type: P4/mmm (123)
- Spin magnetization: 0.346 μB per atom
- Raw total energy: -0.2278 Ry per atom
- Calculated volume: 31.60 A^3/atom
- N(E_F): 0.528 states/eV/atom
- DFT formation energy: 0.609 eV/atom

Cell: 6.0435 4.3254 6.0435 Å, 90.00 90.00 90.00°
With the nearest neighbours (Å) after each atom.
Positions (direct):
Ba1 0.0000 0.0000 0.5000  2 B 3.02
Ba2 0.5000 0.0000 0.0000  2 B 3.02
Cd1 0.0000 0.5000 0.0000  2 B 2.16
B1 0.0000 0.0000 0.0000  2 Cd 2.16
Co1 0.5000 0.5000 0.5000  8 Ba 3.72

=====

No. 6
First-principles (PBE) data for a geometry-optimized BaCrCd2B structure, as listed in Alexandria via LeMat-Bulk.

## Properties
- Space-group type: P4/mmm (123)
- Spin magnetization: 0.820 μB per atom
- Raw total energy: -0.1673 Ry per atom
- Calculated volume: 41.62 A^3/atom
- N(E_F): 0.719 states/eV/atom
- DFT formation energy: 1.735 eV/atom

Cell: 6.3776 5.1166 6.3776 Å, 90.00 90.00 90.00°
With the nearest neighbours (Å) after each atom.
Positions (direct):
B1 0.0000 0.5000 0.0000  2 Ba 2.56
Ba1 0.0000 0.0000 0.0000  2 B 2.56
Cr1 0.5000 0.5000 0.5000  8 Cd 4.09, 4 B 4.51
Cd1 0.0000 0.0000 0.5000  2 Ba 3.19
Cd2 0.5000 0.0000 0.0000  2 Ba 3.19

=====

No. 7
First-principles (PBE) data for a geometry-optimized BaCd2CuB structure, as listed in Alexandria via LeMat-Bulk.

## Properties
- Space-group type: P4/mmm (123)
- Spin magnetization: 0.000 μB per atom
- Raw total energy: -0.1849 Ry per atom
- Calculated volume: 25.49 A^3/atom
- N(E_F): 0.249 states/eV/atom
- DFT formation energy: 0.390 eV/atom

Cell: 4.5382 6.1886 4.5382 Å, 90.00 90.00 90.00°
With the nearest neighbours (Å) after each atom.
Positions (direct):
Cd1 0.0000 0.0000 0.5000  2 B 2.27
Cd2 0.5000 0.0000 0.0000  2 B 2.27
Cu1 0.5000 0.5000 0.5000  4 Ba 3.21
Ba1 0.0000 0.5000 0.0000  2 B 3.09, 4 Cu 3.21
B1 0.0000 0.0000 0.0000  4 Cd 2.27

=====

No. 8
First-principles (PBE) data for a geometry-optimized BaNbCdB2 structure, as listed in Alexandria via LeMat-Bulk.

## Properties
- Space-group type: P4/mmm (123)
- Spin magnetization: 0.452 μB per atom
- Raw total energy: -0.1886 Ry per atom
- Calculated volume: 26.52 A^3/atom
- N(E_F): 0.696 states/eV/atom
- DFT formation energy: 2.686 eV/atom

Cell: 4.8307 5.6830 4.8307 Å, 90.00 90.00 90.00°
With the nearest neighbours (Å) after each atom.
Positions (direct):
B1 0.0000 0.0000 0.5000  2 Ba 2.42
B2 0.5000 0.0000 0.0000  2 Ba 2.42
Cd1 0.5000 0.5000 0.5000  4 Nb 3.42, 8 B 3.73
Ba1 0.0000 0.0000 0.0000  4 B 2.42
Nb1 0.0000 0.5000 0.0000  2 Ba 2.84

=====

No. 9
First-principles (PBE) data for a geometry-optimized Ba2CdB6O12 structure, as listed in Alexandria via LeMat-Bulk.

## Properties
- Space-group type: R-3 (148)
- Spin magnetization: 0.000 μB per atom
- Raw total energy: -0.5487 Ry per atom
- Calculated volume: 12.82 A^3/atom
- N(E_F): 0.000 states/eV/atom

Cell: 7.2628 7.2628 7.2628 Å, 59.72 59.72 59.72°
With the nearest neighbours (Å) after each atom.
Positions (direct):
O1 0.5415 0.4224 0.7981  2 B 1.41-1.42
O2 0.4224 0.7981 0.5415  2 B 1.41-1.42
O3 0.5776 0.2019 0.4585  2 B 1.41-1.42
O4 0.1633 0.6654 0.9140  1 B 1.33
O5 0.7981 0.5415 0.4224  2 B 1.41-1.42
O6 0.0860 0.8367 0.3346  1 B 1.33
O7 0.4585 0.5776 0.2019  2 B 1.41-1.42
O8 0.3346 0.0860 0.8367  1 B 1.33
O9 0.6654 0.9140 0.1633  1 B 1.33
O10 0.2019 0.4585 0.5776  2 B 1.41-1.42
O11 0.8367 0.3346 0.0860  1 B 1.33
O12 0.9140 0.1633 0.6654  1 B 1.33
B1 0.7558 0.3677 0.6337  3 O 1.33-1.42
B2 0.2442 0.6323 0.3663  3 O 1.33-1.42
B3 0.3677 0.6337 0.7558  3 O 1.33-1.42
B4 0.6337 0.7558 0.3677  3 O 1.33-1.42
B5 0.3663 0.2442 0.6323  3 O 1.33-1.42
B6 0.6323 0.3663 0.2442  3 O 1.33-1.42
Cd1 0.0000 0.0000 0.0000  6 O 2.36
Ba1 0.2065 0.2065 0.2065  9 O 2.81-3.01
Ba2 0.7935 0.7935 0.7935  9 O 2.81-3.01

=====

No. 10
First-principles (PBE) data for a geometry-optimized Ba2CdB2O6 structure, as listed in Alexandria via LeMat-Bulk.

## Properties
- Space-group type: C2/m (12)
- Spin magnetization: 0.000 μB per atom
- Raw total energy: -0.4991 Ry per atom
- Calculated volume: 14.29 A^3/atom
- N(E_F): 0.000 states/eV/atom

Cell: 5.4065 5.6272 6.7047 Å, 114.77 89.99 118.71°
With the nearest neighbours (Å) after each atom.
Positions (direct):
Ba1 0.7085 0.4170 0.1902  9 O 2.79-2.91
Ba2 0.2915 0.5830 0.8098  9 O 2.79-2.91
O1 0.1962 0.9476 0.2246  1 B 1.41
O2 0.7514 0.9476 0.2245  1 B 1.41
O3 0.8038 0.0524 0.7754  1 B 1.41
O4 0.2128 0.4257 0.3333  1 B 1.38
O5 0.2486 0.0524 0.7755  1 B 1.41
O6 0.7872 0.5743 0.6667  1 B 1.38
Cd1 0.5000 0.0000 0.5000  6 O 2.30-2.50
B1 0.0562 0.1124 0.2614  3 O 1.38-1.41
B2 0.9438 0.8876 0.7386  3 O 1.38-1.41

=====

No. 11
First-principles (PBE) data for a geometry-optimized BaCdBOs2 structure, as listed in Alexandria via LeMat-Bulk.

## Properties
- Space-group type: P4/mmm (123)
- Spin magnetization: 0.581 μB per atom
- Raw total energy: -0.3140 Ry per atom
- Calculated volume: 23.06 A^3/atom
- N(E_F): 0.983 states/eV/atom
- DFT formation energy: 2.123 eV/atom

Cell: 5.1869 4.2864 5.1869 Å, 90.00 90.00 90.00°
With the nearest neighbours (Å) after each atom.
Positions (direct):
Ba1 0.5000 0.5000 0.5000  8 Os 3.36, 4 B 3.67
B1 0.0000 0.5000 0.0000  2 Cd 2.14
Cd1 0.0000 0.0000 0.0000  2 B 2.14
Os1 0.5000 0.0000 0.0000  2 Cd 2.59
Os2 0.0000 0.0000 0.5000  2 Cd 2.59

=====

No. 12
First-principles (PBE) data for a geometry-optimized Ba2CdBPd6 structure, as listed in Alexandria via LeMat-Bulk.

## Properties
- Space-group type: R-3m (166)
- Spin magnetization: 0.000 μB per atom
- Raw total energy: -0.3481 Ry per atom
- Calculated volume: 21.18 A^3/atom
- N(E_F): 0.344 states/eV/atom
- DFT formation energy: -0.477 eV/atom

Cell: 6.0299 7.5730 7.5742 Å, 46.92 66.53 89.99°
With the nearest neighbours (Å) after each atom.
Positions (direct):
Pd1 0.7293 0.7958 0.5416  1 B 2.13
Pd2 0.2044 0.2708 0.0665  1 B 2.13
Pd3 0.7293 0.2709 0.0666  1 B 2.13
Pd4 0.2707 0.7291 0.9334  1 B 2.13
Pd5 0.2707 0.2042 0.4584  1 B 2.13
Pd6 0.7956 0.7292 0.9335  1 B 2.13
Ba1 0.7241 0.2758 0.5516  6 Pd 3.21
Ba2 0.2759 0.7242 0.4484  6 Pd 3.21
B1 0.5000 0.5000 0.0000  6 Pd 2.13
Cd1 0.0000 0.0000 0.0000  6 Pd 2.81

=====

What is the raw total energy in the fifth record? -0.2278 Ry per atom

=====

Among the records above, which one has the lowest calculated volume? Ba2CdB6O12

=====

Look up the N(E_F) of the fourth one. 0.698 states/eV/atom